Entry 1:
Nd5U3N8: optimized geometry, GGA-PBE.

POSCAR file:
```
Nd5U3N8
1.0
3.5456 2.0471 5.8261
-3.5456 2.0471 5.8261
0.0000 -4.0941 5.8261
Nd U N
5 3 8
Cartesian
0.0000 0.0000 0.0000
-1.7728 -1.0235 5.8261
-1.7728 1.0235 11.6521
0.0000 2.0470 5.8261
0.0000 0.0000 8.7391
-3.5456 0.0000 8.7391
-1.7728 1.0235 2.9130
1.7728 1.0235 2.9130
-1.9065 -1.1007 9.9753
0.0000 0.0000 4.1213
0.0000 -2.2014 7.5029
-1.9065 1.1007 7.5029
1.9065 -1.1007 9.9753
0.0000 2.2014 9.9753
0.0000 0.0000 13.3569
1.9065 1.1007 7.5029
```

Properties
Formation energy (no corrections) (meV/atom): -1404.9
Space-group type: R-3m


Entry 2:
Nd2UN3: optimized geometry, GGA-PBE.

POSCAR file:
```
Nd2UN3
1.0
3.1008 -5.3400 0.0000
3.1008 5.3400 0.0000
-2.0210 0.0000 5.7875
Nd U N
4 2 6
Cartesian
1.5850 4.4412 4.3406
2.5955 2.7000 1.4469
1.5850 -2.7000 4.3406
2.5955 -4.4412 1.4469
1.5850 0.9061 4.3406
2.5955 -0.9061 1.4469
0.5399 2.6700 2.8938
-0.1984 0.7570 5.7812
0.8121 -0.7570 2.8875
1.5504 -2.6700 0.0000
3.3684 0.7570 2.9001
4.3789 -0.7570 0.0063
```

Properties
Formation energy (no corrections) (meV/atom): -1387.4
Space-group type: C2/c


Entry 3:
Nd2V2N3: optimized geometry, GGA-PBE.

POSCAR file:
```
Nd2V2N3
1.0
5.8602 -1.6661 0.0000
5.8602 1.6661 0.0000
-2.4290 0.0000 5.1175
Nd V N
2 2 3
Cartesian
0.4672 0.0000 1.6377
8.8242 0.0000 3.4798
3.5516 0.0000 0.8680
5.7398 0.0000 4.2495
0.9940 0.0000 3.9989
4.6457 0.0000 2.5587
8.2973 0.0000 1.1186
```

Properties
Formation energy (no corrections) (meV/atom): -1125.8
Space-group type: C2/m


Entry 4:
Nd2V2N5: optimized geometry, GGA-PBE.

POSCAR file:
```
Nd2V2N5
1.0
5.4878 -1.9865 0.0000
5.4878 1.9865 0.0000
-2.0406 0.0000 5.4848
Nd V N
2 2 5
Cartesian
0.4766 0.0000 1.6738
8.4584 0.0000 3.8110
3.4801 0.0000 0.6216
5.4549 0.0000 4.8632
-0.1931 0.0000 5.1246
2.9159 0.0000 2.2758
5.4878 0.0000 0.0000
6.0191 0.0000 3.2090
9.1282 0.0000 0.3602
```

Properties
Formation energy (no corrections) (meV/atom): -1109.2
Space-group type: C2/m


Entry 5:
Nd2VN4: optimized geometry, GGA-PBE.

POSCAR file:
```
Nd2VN4
1.0
5.8108 0.0000 0.0000
0.0000 5.7279 0.0000
-2.2030 0.0000 6.5538
Nd V N
4 2 8
Cartesian
1.0303 1.4320 0.2290
0.3439 1.4320 3.6831
3.2640 4.2959 2.8707
2.5776 4.2959 6.3248
-0.2905 4.2959 5.2452
3.8984 1.4320 1.3086
-1.3833 2.9172 4.8734
-1.3833 5.6747 4.8734
2.3556 4.2959 0.4508
1.2403 4.2959 4.2786
2.3676 1.4320 2.2751
1.2523 1.4320 6.1030
4.9912 0.0532 1.6804
4.9912 2.8107 1.6804
```

Properties
Formation energy (no corrections) (meV/atom): -976.6
Space-group type: P2_1/m


Entry 6:
NdVN: optimized geometry, GGA-PBE.

POSCAR file:
```
NdVN
1.0
6.8773 0.0000 0.0000
-3.4386 5.9559 0.0000
0.0000 0.0000 3.4305
Nd V N
3 3 3
Cartesian
-1.9883 3.4439 0.0000
1.4503 2.5120 0.0000
3.9767 0.0000 0.0000
-0.6703 1.1611 1.7152
1.3407 0.0000 1.7152
2.7683 4.7948 1.7152
0.0000 0.0000 0.0000
0.0000 3.9706 1.7152
3.4386 1.9853 1.7152
```

Properties
Formation energy (no corrections) (meV/atom): -90.8
Space-group type: P-62m


Entry 7:
Nd4VN5: optimized geometry, GGA-PBE.

POSCAR file:
```
Nd4VN5
1.0
-3.8866 3.8866 2.5905
3.8866 -3.8866 2.5905
3.8866 3.8866 -2.5905
Nd V N
4 1 5
Cartesian
5.4082 0.8388 0.0000
0.8388 2.3651 0.0000
3.0478 1.5216 2.5905
-1.5216 3.0478 2.5905
0.0000 0.0000 2.2336
0.0000 0.0000 0.4859
3.1899 1.8186 -0.0223
2.0680 -0.6967 2.5683
1.8186 4.5833 -0.0223
0.6967 2.0680 2.5683
```

Properties
Formation energy (no corrections) (meV/atom): -1161.1
Space-group type: I4


Entry 8:
Nd2VWN5: optimized geometry, GGA-PBE.

POSCAR file:
```
Nd2VWN5
1.0
1.6675 -6.9247 0.0000
1.6675 6.9247 0.0000
0.0000 0.0000 10.1566
Nd V W N
4 2 2 10
Cartesian
1.6675 5.3505 5.0783
1.6675 5.0189 1.1743
1.6675 -5.0189 6.2526
1.6675 -5.3505 0.0000
1.6675 0.6816 2.6800
1.6675 -0.6816 7.7583
1.6675 3.9681 8.4297
1.6675 -3.9681 3.3514
1.6675 6.2454 8.6388
1.6675 2.8959 4.6642
1.6675 2.4949 1.9688
1.6675 2.0808 8.3078
1.6675 0.0446 6.1377
1.6675 -0.0446 1.0594
1.6675 -2.0808 3.2295
1.6675 -2.4949 7.0472
1.6675 -2.8959 9.7426
1.6675 -6.2454 3.5605
```

Properties
Formation energy (no corrections) (meV/atom): -999.4
Space-group type: Cmc2_1


Entry 9:
Nd2WN5: optimized geometry, GGA-PBE.

POSCAR file:
```
Nd2WN5
1.0
2.1366 -6.1195 0.0000
2.1366 6.1195 0.0000
0.0000 0.0000 10.3163
Nd W N
4 2 10
Cartesian
2.1366 4.4086 5.7745
2.1366 4.4086 9.6999
2.1366 -4.4086 0.6164
2.1366 -4.4086 4.5418
2.1366 3.4429 2.5791
2.1366 -3.4429 7.7372
2.1366 5.4328 1.8991
2.1366 5.4328 3.2591
2.1366 2.9019 7.7372
2.1366 2.4973 0.9009
2.1366 2.4973 4.2573
2.1366 -2.4973 6.0590
2.1366 -2.4973 9.4154
2.1366 -2.9019 2.5791
2.1366 -5.4328 7.0572
2.1366 -5.4328 8.4172
```

Properties
Formation energy (no corrections) (meV/atom): -617.1
Space-group type: Cmcm


Entry 10:
Nd3WN6: optimized geometry, GGA-PBE.

POSCAR file:
```
Nd3WN6
1.0
4.8885 -6.0778 0.0000
4.8885 6.0778 0.0000
0.0000 0.0000 5.5675
Nd W N
6 2 12
Cartesian
4.8885 4.7783 2.7838
3.0509 1.3106 2.6299
3.0509 -1.3106 5.4137
6.7260 1.3106 2.6299
6.7260 -1.3106 5.4137
4.8885 -4.7783 0.0000
4.8885 2.4034 5.1831
4.8885 -2.4034 2.3993
3.4189 3.1907 4.3318
1.5616 0.0939 4.0677
1.5616 -0.0939 1.2839
4.8885 2.5614 1.5169
6.3580 3.1907 4.3318
4.8885 0.6601 4.5123
4.8885 -0.6601 1.7285
3.4189 -3.1907 1.5481
4.8885 -2.5614 4.3007
8.2154 0.0939 4.0677
8.2154 -0.0939 1.2839
6.3580 -3.1907 1.5481
```

Properties
Formation energy (no corrections) (meV/atom): -690.6
Space-group type: Cmc2_1


Entry 11:
Nd2WN: optimized geometry, GGA-PBE.

POSCAR file:
```
Nd2WN
1.0
1.6599 0.9583 8.9531
-1.6599 0.9583 8.9531
0.0000 -1.9167 8.9531
Nd W N
2 1 1
Cartesian
0.0000 0.0000 2.9820
0.0000 0.0000 23.8772
0.0000 0.0000 0.0000
0.0000 0.0000 13.4296
```

Properties
Formation energy (no corrections) (meV/atom): 279.5
Space-group type: R-3m


Entry 12:
NdWN4: optimized geometry, GGA-PBE.

POSCAR file:
```
NdWN4
1.0
3.7087 -3.3503 0.0000
3.7087 3.3503 0.0000
0.0000 0.0000 7.7647
Nd W N
2 2 8
Cartesian
3.7087 2.6329 5.8235
3.7087 -2.6329 1.9412
3.7087 0.7019 1.9412
3.7087 -0.7019 5.8235
3.7087 1.8452 0.4345
3.7087 1.8452 3.4479
2.2461 0.4458 5.8235
2.2461 -0.4458 1.9412
5.1712 0.4458 5.8235
5.1712 -0.4458 1.9412
3.7087 -1.8452 4.3168
3.7087 -1.8452 7.3302
```

Properties
Formation energy (no corrections) (meV/atom): 79.7
Space-group type: Cmcm


Entry 13:
NdWN3: optimized geometry, GGA-PBE.

POSCAR file:
```
NdWN3
1.0
5.5516 -4.9500 0.0000
5.5516 4.9500 0.0000
-2.2010 0.0000 5.9991
Nd W N
4 4 12
Cartesian
3.9008 4.0393 4.4993
5.0013 1.9499 1.4998
3.9008 -1.9499 4.4993
5.0013 -4.0393 1.4998
1.5512 0.8806 4.5623
2.6517 -0.8806 1.5628
6.2504 0.8806 4.4363
7.3509 -0.8806 1.4367
-0.1851 1.1024 3.9293
2.2019 2.4740 5.0965
0.9154 -1.1024 0.9298
2.7255 0.0832 3.2119
3.8260 -0.0832 0.2124
5.5997 2.4740 3.9020
3.3024 -2.4740 2.0970
5.0761 0.0832 5.7867
6.1766 -0.0832 2.7871
7.9867 1.1024 5.0693
6.7002 -2.4740 0.9025
9.0872 -1.1024 2.0698
```

Properties
Formation energy (no corrections) (meV/atom): -943.3
Space-group type: C2/c


Entry 14:
NdWN2: optimized geometry, GGA-PBE.

POSCAR file:
```
NdWN2
1.0
5.8945 0.0000 0.0000
0.0000 3.3176 0.0000
0.0000 0.0000 10.7632
Nd W N
4 4 8
Cartesian
0.4666 0.8294 1.5500
2.4806 2.4882 6.9316
3.4138 0.8294 3.8316
5.4279 2.4882 9.2132
0.3667 2.4882 4.3682
2.5806 0.8294 9.7498
3.3139 2.4882 1.0134
5.5278 0.8294 6.3950
0.9675 0.8294 8.0344
1.4406 0.8294 5.2495
1.5067 2.4882 10.6311
1.9797 2.4882 2.6528
3.9148 0.8294 8.1104
4.3878 0.8294 0.1321
4.4539 2.4882 5.5137
4.9269 2.4882 2.7288
```

Properties
Formation energy (no corrections) (meV/atom): -903.9
Space-group type: Pnma


Entry 15:
NdW2N4: optimized geometry, GGA-PBE.

POSCAR file:
```
NdW2N4
1.0
1.6678 -4.9599 0.0000
1.6678 4.9599 0.0000
0.0000 0.0000 10.1308
Nd W N
2 4 8
Cartesian
1.6678 3.7315 7.5981
1.6678 -3.7315 2.5327
1.6678 1.1651 5.6507
1.6678 1.1651 9.5456
1.6678 -1.1651 0.5853
1.6678 -1.1651 4.4801
0.0000 0.0000 0.0000
0.0000 0.0000 5.0654
1.6678 2.3883 1.0458
1.6678 2.3883 4.0196
1.6678 0.7007 7.5981
1.6678 -0.7007 2.5327
1.6678 -2.3883 6.1112
1.6678 -2.3883 9.0851
```

Properties
Formation energy (no corrections) (meV/atom): -680.8
Space-group type: Cmcm


Entry 16:
Nd5WN8: optimized geometry, GGA-PBE.

POSCAR file:
```
Nd5WN8
1.0
-3.6811 3.6811 3.5635
3.6811 -3.6811 3.5635
3.6811 3.6811 -3.5635
Nd W N
5 1 8
Cartesian
0.0000 0.0000 0.0000
4.6416 1.8688 -0.9003
1.8688 2.7206 0.9003
-0.9605 1.8123 2.6631
1.8123 0.9605 4.4638
3.6811 0.0000 1.7817
2.5519 0.4304 -0.0491
2.1845 3.1513 -1.5113
3.2507 -1.1293 3.6126
1.4966 0.5298 2.0522
4.2109 2.1845 1.5113
0.4304 4.8104 0.0491
-0.5298 1.4966 5.0748
1.1293 3.2507 3.5143
```

Properties
Formation energy (no corrections) (meV/atom): -677.4
Space-group type: I-4


Entry 17:
Nd2W2N7: optimized geometry, GGA-PBE.

POSCAR file:
```
Nd2W2N7
1.0
3.7099 -4.9394 0.0000
3.7099 4.9394 0.0000
-1.1627 0.0000 5.3218
Nd W N
2 2 7
Cartesian
3.7099 3.0129 0.0000
3.7099 -3.0129 0.0000
1.3039 0.0000 3.1599
4.9532 0.0000 2.1619
0.3130 0.0000 1.5410
1.0126 1.5224 4.1817
1.0126 -1.5224 4.1817
3.1286 0.0000 2.6609
5.2445 1.5224 1.1401
5.2445 -1.5224 1.1401
5.9441 0.0000 3.7808
```

Properties
Formation energy (no corrections) (meV/atom): -403.7
Space-group type: C2/m


Entry 18:
NdWN2: optimized geometry, GGA-PBE.

POSCAR file:
```
NdWN2
1.0
1.6356 0.9443 5.5273
-1.6356 0.9443 5.5273
0.0000 -1.8886 5.5273
Nd W N
1 1 2
Cartesian
0.0000 0.0000 0.0000
0.0000 0.0000 8.2910
0.0000 0.0000 3.8738
0.0000 0.0000 12.7082
```

Properties
Formation energy (no corrections) (meV/atom): -664.3
Space-group type: R-3m


Entry 19:
NdW2N6: optimized geometry, GGA-PBE.

POSCAR file:
```
NdW2N6
1.0
5.6370 -2.0029 0.0000
5.6370 2.0029 0.0000
-3.0623 0.0000 5.8190
Nd W N
1 2 6
Cartesian
0.0000 0.0000 0.0000
0.5352 0.0000 3.8121
7.6765 0.0000 2.0069
-1.4773 0.0000 3.5562
1.9447 0.0000 2.3192
1.1498 0.0000 5.4873
7.0619 0.0000 0.3317
6.2671 0.0000 3.4998
9.6891 0.0000 2.2628
```

Properties
Formation energy (no corrections) (meV/atom): -336.7
Space-group type: C2/m


Entry 20:
Nd3W2N8: optimized geometry, GGA-PBE.

POSCAR file:
```
Nd3W2N8
1.0
2.8834 1.6647 6.7855
-2.8834 1.6647 6.7855
0.0000 -3.3294 6.7855
Nd W N
3 2 8
Cartesian
0.0000 0.0000 0.0000
0.0000 0.0000 4.0279
0.0000 0.0000 16.3286
0.0000 0.0000 8.2489
0.0000 0.0000 12.1076
-1.5192 -0.8771 11.4570
0.0000 -1.7542 8.8995
-1.5192 0.8771 8.8995
0.0000 0.0000 6.4026
0.0000 0.0000 13.9539
1.5192 -0.8771 11.4570
0.0000 1.7542 11.4570
1.5192 0.8771 8.8995
```

Properties
Formation energy (no corrections) (meV/atom): -577.7
Space-group type: R-3m